VASP calculation (PBE) on an optimized crystal structure of CsSn8Bi2.

Results
ΔH_f (0 K): -6 meV per atom
Magnetic moment: 0.0 μB/cell
Electronic total energy: -3.70 eV per atom

Cell: 4.654 4.815 17.263 Å, 82.62 83.57 88.08°
Space group P-1 (No. 2)
Unique sites:
Cs  0.000  0.000  0.000 [1 per cell]
Sn  0.124  0.491  0.761 [2 per cell]
Sn  0.323  0.934  0.242 [2 per cell]
Sn  0.444  0.441  0.130 [2 per cell]
Sn  0.461  0.814  0.412 [2 per cell]
Bi  0.099  0.728  0.586 [2 per cell]